# 1
Here is a relaxed K2TaAl crystal from Alexandria via LeMat-Bulk. Energies are from PBE-GGA.

Cell and atoms, written as POSCAR:
```
K2TaAl
1.0
3.729 0.000 0.000
0.000 3.729 0.000
0.000 0.000 10.459
K Al Ta
2 1 1
Cartesian
0.000 0.000 9.700
1.865 1.865 3.404
1.865 1.865 6.739
0.000 0.000 6.304
```

Results
Formation energy from the elements: 0.659 eV/atom
Total magnetic moment: 1.32 μB/f.u.

# 2
Here is a relaxed KTa2Al crystal from Alexandria via LeMat-Bulk. Energies are from PBE-GGA.

Cell and atoms, written as POSCAR:
```
KTa2Al
1.0
-1.033 2.486 -1.072
-3.813 -2.699 -2.585
-3.279 0.499 4.316
K Ta Al
1 2 1
Cartesian
-3.546 -1.100 0.866
-2.423 -0.107 -1.829
0.000 0.000 0.000
-2.156 1.492 1.622
```

Results
Formation energy from the elements: 1.037 eV/atom
Total magnetic moment: 0.95 μB/f.u.

# 3
Here is a relaxed K2TaAl crystal from Alexandria via LeMat-Bulk. Energies are from PBE-GGA.

Cell and atoms, written as POSCAR:
```
K2TaAl
1.0
-1.755 -1.227 -2.018
2.345 -0.603 -1.673
1.200 -11.008 5.647
Ta Al K
1 1 2
Cartesian
0.595 -3.667 -0.434
1.195 -9.171 2.390
0.606 -5.562 2.853
1.193 -10.950 5.617
```

Results
Formation energy from the elements: 1.043 eV/atom
Total magnetic moment: 0.59 μB/f.u.